# Pa2Mo2N7

An optimized crystal structure of Pa2Mo2N7 (PBE-GGA, Alexandria).

Geometry as POSCAR:
```
Pa2Mo2N7
1.0
5.840 -0.376 1.124
-0.338 5.188 0.322
0.758 0.370 5.899
N Mo Pa
7 2 2
Direct
0.069 0.705 0.597
0.597 0.295 0.069
0.931 0.295 0.403
0.403 0.705 0.931
0.417 0.237 0.583
0.000 0.000 0.000
0.583 0.763 0.417
0.239 0.897 0.761
0.761 0.103 0.239
0.688 0.500 0.688
0.312 0.500 0.312
```

Summary:
SG: C2/m, No. 12
formation energy without anion corrections: -85.8 kJ/mol of atoms